VASP calculation (PBE) on a relaxed LaTi2Rh crystal.

Computed properties:
calculated total energy: -7.07 eV per atom
crystal system: cubic
energy of formation: -0.0570 eV per atom

Cell lengths 4.6829, 4.6829, 4.6829 Å; angles 60.00, 60.00, 60.00 degrees
With the nearest neighbours (Å) after each atom.
Sites, in units of the cell vectors:
La  0.0000  0.0000  0.0000  8 Ti 2.87
Ti  0.2500  0.2500  0.2500  4 La 2.87, 4 Rh 2.87
Ti  0.7500  0.7500  0.7500  4 Rh 2.87, 4 La 2.87
Rh  0.5000  0.5000  0.5000  8 Ti 2.87